1.
First-principles (SCAN) data for a crystal of CrMoCl2 relaxed with PBEsol, as listed in the Alexandria database. Values from VASP.

## Properties
Calculated total energy (eV per formula unit): -68.71
D(E_F) (states/eV/cell): 2.81
Formation energy without anion corrections (eV per atom): 0.13

Structure (Quantum ESPRESSO input):
```
&SYSTEM
  ibrav = 0, nat = 4, ntyp = 3
/
ATOMIC_SPECIES
Cr 52.00 Cr.upf
Mo 95.94 Mo.upf
Cl 35.45 Cl.upf
ATOMIC_POSITIONS angstrom
Cr 0.0000 0.0000 0.0000
Mo 0.0000 0.0000 12.2288
Cl 0.0000 0.0000 2.3142
Cl 0.0000 0.0000 22.1433
CELL_PARAMETERS angstrom
1.5131 0.8736 8.1525
-1.5131 0.8736 8.1525
0.0000 -1.7472 8.1525
```

2.
First-principles (SCAN) data for a crystal of Al2B2Rh relaxed with PBEsol, as listed in the Alexandria database. Values from VASP.

## Properties
Calculated total energy (eV per formula unit): -66.28
D(E_F) (states/eV/cell): 1.39
Calculated formation energy (meV per atom): -430

Structure (Quantum ESPRESSO input):
```
&SYSTEM
  ibrav = 0, nat = 10, ntyp = 3
/
ATOMIC_SPECIES
Al 26.98 Al.upf
B 10.81 B.upf
Rh 102.91 Rh.upf
ATOMIC_POSITIONS angstrom
Al 1.0121 1.7957 0.0000
Al 1.7957 4.6034 0.0000
Al 3.8198 1.0121 0.0000
Al 4.6034 3.8198 0.0000
B 0.6087 3.4164 1.6377
B 2.1991 0.6087 1.6377
B 3.4164 5.0068 1.6377
B 5.0068 2.1991 1.6377
Rh 0.0000 0.0000 1.6377
Rh 2.8078 2.8078 1.6377
CELL_PARAMETERS angstrom
5.6155 0.0000 0.0000
0.0000 5.6155 0.0000
0.0000 0.0000 3.2754
```

3.
First-principles (SCAN) data for a crystal of B relaxed with PBEsol, as listed in the Alexandria database. Values from VASP.

## Properties
Calculated total energy (eV per formula unit): -7.35
D(E_F) (states/eV/cell): 16.83
Calculated formation energy (meV per atom): 77

Structure (Quantum ESPRESSO input):
```
&SYSTEM
  ibrav = 0, nat = 50, ntyp = 1
/
ATOMIC_SPECIES
B 10.81 B.upf
ATOMIC_POSITIONS angstrom
B 0.0339 4.4362 0.8534
B 0.0339 8.7707 1.6138
B 0.1946 5.8748 3.2564
B 0.1946 7.3321 4.1452
B 0.7068 1.4423 4.1727
B 0.7068 2.9600 3.2290
B 1.0672 5.4695 1.7613
B 1.0672 7.7374 0.7059
B 1.4423 0.7068 0.7617
B 1.4423 3.6955 1.7055
B 1.4725 4.5969 3.2564
B 1.4725 8.6100 4.1452
B 2.2011 6.6034 1.2336
B 2.9298 4.5969 4.1452
B 2.9298 8.6100 3.2564
B 2.9600 0.7068 1.7055
B 2.9600 3.6955 0.7617
B 3.3351 5.4695 0.7059
B 3.3351 7.7374 1.7613
B 3.6955 1.4423 3.2290
B 3.6955 2.9600 4.1727
B 4.2077 5.8748 4.1452
B 4.2077 7.3321 3.2564
B 4.3684 4.4362 1.6138
B 4.3684 8.7707 0.8534
B 4.4362 0.0339 4.0810
B 4.4362 4.3684 3.3206
B 4.5969 1.4725 1.6780
B 4.5969 2.9298 0.7892
B 5.1091 5.8446 0.7617
B 5.1091 7.3623 1.7055
B 5.4695 1.0672 3.1731
B 5.4695 3.3351 4.2285
B 5.8446 5.1091 4.1727
B 5.8446 8.0978 3.2290
B 5.8748 0.1946 1.6780
B 5.8748 4.2077 0.7892
B 6.6034 2.2011 3.7008
B 7.3321 0.1946 0.7892
B 7.3321 4.2077 1.6780
B 7.3623 5.1091 3.2290
B 7.3623 8.0978 4.1727
B 7.7374 1.0672 4.2285
B 7.7374 3.3351 3.1731
B 8.0978 5.8446 1.7055
B 8.0978 7.3623 0.7617
B 8.6100 1.4725 0.7892
B 8.6100 2.9298 1.6780
B 8.7707 0.0339 3.3206
B 8.7707 4.3684 4.0810
CELL_PARAMETERS angstrom
8.8046 0.0000 0.0000
0.0000 8.8046 0.0000
0.0000 0.0000 4.9344
```

4.
First-principles (SCAN) data for a crystal of KScAlPd2 relaxed with PBEsol, as listed in the Alexandria database. Values from VASP.

## Properties
Calculated total energy (eV per formula unit): -95.08
D(E_F) (states/eV/cell): 6.15
Calculated formation energy (meV per atom): 157

Structure (Quantum ESPRESSO input):
```
&SYSTEM
  ibrav = 0, nat = 5, ntyp = 4
/
ATOMIC_SPECIES
K 39.10 K.upf
Sc 44.96 Sc.upf
Al 26.98 Al.upf
Pd 106.42 Pd.upf
ATOMIC_POSITIONS angstrom
K 0.0000 0.0000 0.0000
Sc 2.3692 2.3692 0.0000
Al 2.3692 2.3692 2.5708
Pd 0.0000 2.3692 2.5708
Pd 2.3692 0.0000 2.5708
CELL_PARAMETERS angstrom
4.7383 0.0000 0.0000
0.0000 4.7383 0.0000
0.0000 0.0000 5.1417
```

5.
First-principles (SCAN) data for a crystal of CaZn2Cu relaxed with PBEsol, as listed in the Alexandria database. Values from VASP.

## Properties
Calculated total energy (eV per formula unit): -51.72
D(E_F) (states/eV/cell): 1.81
Calculated formation energy (meV per atom): 43

Structure (Quantum ESPRESSO input):
```
&SYSTEM
  ibrav = 0, nat = 4, ntyp = 3
/
ATOMIC_SPECIES
Ca 40.08 Ca.upf
Zn 65.41 Zn.upf
Cu 63.55 Cu.upf
ATOMIC_POSITIONS angstrom
Ca 0.0000 0.0000 0.0000
Zn 0.0000 2.0306 2.1680
Zn 2.0306 0.0000 2.1680
Cu 2.0306 2.0306 0.0000
CELL_PARAMETERS angstrom
4.0613 0.0000 0.0000
0.0000 4.0613 0.0000
0.0000 0.0000 4.3361
```

6.
First-principles (SCAN) data for a crystal of LaRePb2 relaxed with PBEsol, as listed in the Alexandria database. Values from VASP.

## Properties
Calculated total energy (eV per formula unit): -264.46
D(E_F) (states/eV/cell): 4.12
Calculated formation energy (meV per atom): 325

Structure (Quantum ESPRESSO input):
```
&SYSTEM
  ibrav = 0, nat = 4, ntyp = 3
/
ATOMIC_SPECIES
La 138.91 La.upf
Re 186.21 Re.upf
Pb 207.20 Pb.upf
ATOMIC_POSITIONS angstrom
La 0.0000 0.0000 0.0000
Re 1.7779 1.7779 5.9481
Pb 0.0000 0.0000 4.6082
Pb 1.7779 1.7779 2.5651
CELL_PARAMETERS angstrom
3.5557 0.0000 0.0000
0.0000 3.5557 0.0000
0.0000 0.0000 7.8366
```

7.
First-principles (SCAN) data for a crystal of CaRu2Au relaxed with PBEsol, as listed in the Alexandria database. Values from VASP.

## Properties
Calculated total energy (eV per formula unit): -146.82
D(E_F) (states/eV/cell): 3.93
Calculated formation energy (meV per atom): 414

Structure (Quantum ESPRESSO input):
```
&SYSTEM
  ibrav = 0, nat = 4, ntyp = 3
/
ATOMIC_SPECIES
Ca 40.08 Ca.upf
Ru 101.07 Ru.upf
Au 196.97 Au.upf
ATOMIC_POSITIONS angstrom
Ca 0.0000 0.0000 0.0000
Ru 1.4174 2.1246 1.3341
Ru 1.4174 -2.1246 1.3341
Au 2.8348 0.0000 0.0000
CELL_PARAMETERS angstrom
2.8348 -4.2492 0.0000
2.8348 4.2492 0.0000
0.0000 0.0000 2.6683
```

8.
First-principles (SCAN) data for a crystal of CuSe2BrO relaxed with PBEsol, as listed in the Alexandria database. Values from VASP.

## Properties
Calculated total energy (eV per formula unit): -76.81
D(E_F) (states/eV/cell): 3.19
Formation energy without anion corrections (eV per atom): 0.85

Structure (Quantum ESPRESSO input):
```
&SYSTEM
  ibrav = 0, nat = 5, ntyp = 4
/
ATOMIC_SPECIES
Cu 63.55 Cu.upf
Se 78.96 Se.upf
Br 79.90 Br.upf
O 16.00 O.upf
ATOMIC_POSITIONS angstrom
Cu 0.0000 0.0000 0.0000
Se 0.0000 2.3294 0.0000
Se 2.3294 0.0000 0.0000
Br 0.0000 0.0000 2.4185
O 2.3294 2.3294 2.4185
CELL_PARAMETERS angstrom
4.6589 0.0000 0.0000
0.0000 4.6589 0.0000
0.0000 0.0000 4.8371
```

9.
First-principles (SCAN) data for a crystal of TbMn6Al6 relaxed with PBEsol, as listed in the Alexandria database. Values from VASP.

## Properties
Calculated total energy (eV per formula unit): -207.28
D(E_F) (states/eV/cell): 9.14
Calculated formation energy (meV per atom): -344

Structure (Quantum ESPRESSO input):
```
&SYSTEM
  ibrav = 0, nat = 13, ntyp = 3
/
ATOMIC_SPECIES
Tb 158.93 Tb.upf
Mn 54.94 Mn.upf
Al 26.98 Al.upf
ATOMIC_POSITIONS angstrom
Tb 0.0000 0.0000 0.0000
Mn 1.2182 2.1083 -2.1396
Mn 1.2182 -2.1083 2.1396
Mn 2.4365 0.0000 2.0572
Mn -1.2182 2.1083 2.1396
Mn 1.2182 2.1083 2.1396
Mn 0.0000 4.2165 2.2220
Al 2.4365 1.6483 0.0000
Al 0.0000 0.0000 2.9209
Al 0.0000 2.9295 0.0000
Al 0.0000 5.5035 0.0000
Al 0.0000 0.0000 5.6374
Al 0.0000 2.5682 4.2792
CELL_PARAMETERS angstrom
-2.4365 4.2165 4.2792
2.4365 -4.2165 4.2792
2.4365 4.2165 -4.2792
```

10.
First-principles (SCAN) data for a crystal of BeCo2B relaxed with PBEsol, as listed in the Alexandria database. Values from VASP.

## Properties
Calculated total energy (eV per formula unit): -47.62
D(E_F) (states/eV/cell): 1.32
Calculated formation energy (meV per atom): -306

Structure (Quantum ESPRESSO input):
```
&SYSTEM
  ibrav = 0, nat = 4, ntyp = 3
/
ATOMIC_SPECIES
Be 9.01 Be.upf
Co 58.93 Co.upf
B 10.81 B.upf
ATOMIC_POSITIONS angstrom
Be 0.0000 0.0000 0.0000
Co 1.2474 1.2474 1.2474
Co 3.7421 3.7421 3.7421
B 2.4947 2.4947 2.4947
CELL_PARAMETERS angstrom
0.0000 2.4947 2.4947
2.4947 0.0000 2.4947
2.4947 2.4947 0.0000
```

- The highest D(E_F) belongs to which entry?
  B

- Which formula does entry 2 have?
  Al2B2Rh

- D(E_F) of number 1 (CrMoCl2)?
  2.81 states/eV/cell

- Which of these has the highest calculated total energy?
  B